# VCuTcAs2 GGA-PBE relaxed
data_VCuTcAs2
_cell_length_a 4.537
_cell_length_b 4.537
_cell_length_c 4.441
_cell_angle_alpha 90.00
_cell_angle_beta 90.00
_cell_angle_gamma 90.00
_space_group_name_H-M_alt 'P 4/m m m'
_space_group_IT_number 123
_space_group_name_Hall '-P 4 2'
loop_
_atom_site_label
_atom_site_fract_x
_atom_site_fract_y
_atom_site_fract_z
V1 0.000 0.000 0.000
Cu1 0.000 0.000 0.500
Tc1 0.500 0.500 0.000
As1 0.000 0.500 0.500
# E_form: 1.256 eV/atom
# Size of the total moment: 2.6 μB per formula unit
# Theoretical density: 6.58 g cm⁻³
# Density of states at the Fermi level: 6.916 states/eV/cell

=====

# Y2CuTcAs GGA-PBE relaxed
data_Y2CuTcAs
_cell_length_a 5.370
_cell_length_b 5.370
_cell_length_c 4.649
_cell_angle_alpha 90.00
_cell_angle_beta 90.00
_cell_angle_gamma 90.00
_space_group_name_H-M_alt 'P 4/m m m'
_space_group_IT_number 123
_space_group_name_Hall '-P 4 2'
loop_
_atom_site_label
_atom_site_fract_x
_atom_site_fract_y
_atom_site_fract_z
Y1 0.000 0.500 0.000
Cu1 0.000 0.000 0.500
Tc1 0.500 0.500 0.000
As1 0.500 0.500 0.500
# E_form: 0.091 eV/atom
# Size of the total moment: 0.0 μB per formula unit
# Theoretical density: 5.13 g cm⁻³
# Density of states at the Fermi level: 1.517 states/eV/cell

=====

# Cu2TeAs2 GGA-PBE relaxed
data_Cu2TeAs2
_cell_length_a 4.012
_cell_length_b 4.012
_cell_length_c 11.522
_cell_angle_alpha 90.00
_cell_angle_beta 90.00
_cell_angle_gamma 90.00
_space_group_name_H-M_alt 'I 4/m m m'
_space_group_IT_number 139
_space_group_name_Hall '-I 4 2'
loop_
_atom_site_label
_atom_site_fract_x
_atom_site_fract_y
_atom_site_fract_z
Cu1 0.000 0.000 0.108
Te1 0.000 0.000 0.500
As1 0.000 0.500 0.250
# Size of the total moment: 0.0 μB per formula unit
# ΔE_f (raw): 1.23 eV/f.u.
# Theoretical density: 7.24 g cm⁻³
# Distance to the lowest polymorph of the same formula: 0.0 meV per atom
# Density of states at the Fermi level: 5.675 states/eV/cell